{"formula": "Th2TiAl3", "functional": "GGA-PBE", "state": "relaxed", "formation_enthalpy_0k_ev_per_atom": -0.3749, "magmom_total_mub_per_cell": 0.00, "spacegroup": "R-3m", "vol_a3_per_atom": 21.82, "energy_ev_per_atom": -6.035, "lattice": [[-2.521, 4.840, -1.607], [1.094, -4.047, -3.846], [-2.867, -3.786, 3.171]], "species": ["Ti", "Al", "Al", "Al", "Th", "Th"], "frac_coords": [[0.000, 0.000, 0.000], [0.000, 0.000, 0.500], [0.500, 0.500, 0.500], [0.500, 0.000, 0.500], [0.739, 0.369, 0.108], [0.261, 0.631, 0.892]]}

{"formula": "ThTi2Al", "functional": "GGA-PBE", "state": "relaxed", "formation_enthalpy_0k_ev_per_atom": -0.0193, "magmom_total_mub_per_cell": 0.79, "spacegroup": "P4/mmm", "e_above_lowest_polymorph_kj_per_mol_fu": 20, "vol_a3_per_atom": 20.49, "energy_ev_per_atom": -6.757, "lattice": [[-2.256, -0.458, 2.566], [-1.703, -2.310, -1.910], [3.946, -5.036, 2.571]], "species": ["Ti", "Ti", "Th", "Al"], "frac_coords": [[0.000, 0.000, 0.203], [0.000, 0.000, 0.797], [0.500, 0.500, 0.500], [0.500, 0.500, 0.000]]}

{"formula": "ThTiAl4", "functional": "GGA-PBE", "state": "relaxed", "formation_enthalpy_0k_ev_per_atom": -0.2848, "magmom_total_mub_per_cell": 0.58, "spacegroup": "F-43m", "vol_a3_per_atom": 19.26, "energy_ev_per_atom": -5.332, "lattice": [[5.467, 0.000, 0.000], [2.734, 4.735, 0.000], [2.734, 1.578, 4.464]], "species": ["Al", "Th", "Al", "Ti", "Al", "Al"], "frac_coords": [[0.625, 0.625, 0.124], [0.250, 0.250, 0.250], [0.124, 0.625, 0.625], [0.000, 0.000, 0.000], [0.625, 0.625, 0.625], [0.625, 0.124, 0.625]]}

{"formula": "Th2TiAl", "functional": "GGA-PBE", "state": "relaxed", "formation_enthalpy_0k_ev_per_atom": 0.3568, "magmom_total_mub_per_cell": 1.09, "spacegroup": "R-3m", "e_above_lowest_polymorph_kj_per_mol_fu": 156, "vol_a3_per_atom": 25.78, "energy_ev_per_atom": -6.262, "lattice": [[3.264, 0.000, 0.000], [1.632, 2.827, 0.000], [1.632, 0.942, 11.173]], "species": ["Ti", "Al", "Th", "Th"], "frac_coords": [[0.000, 0.000, 0.000], [0.500, 0.500, 0.500], [0.912, 0.912, 0.263], [0.088, 0.088, 0.737]]}

{"formula": "YThTiAl", "functional": "GGA-PBE", "state": "relaxed", "formation_enthalpy_0k_ev_per_atom": -0.0001, "magmom_total_mub_per_cell": 2.35, "spacegroup": "F-43m", "vol_a3_per_atom": 25.07, "energy_ev_per_atom": -6.380, "lattice": [[-1.205, -2.697, 4.298], [-3.653, -3.717, -0.193], [1.362, -5.018, 0.397]], "species": ["Al", "Th", "Ti", "Y"], "frac_coords": [[0.750, 0.750, 0.750], [0.500, 0.500, 0.500], [0.250, 0.250, 0.250], [0.000, 0.000, 0.000]]}

{"formula": "Th2AlTl", "functional": "GGA-PBE", "state": "relaxed", "formation_enthalpy_0k_ev_per_atom": -0.0806, "magmom_total_mub_per_cell": 0.00, "spacegroup": "Fm-3m", "e_above_lowest_polymorph_kj_per_mol_fu": 48, "vol_a3_per_atom": 28.05, "energy_ev_per_atom": -5.318, "lattice": [[5.414, 0.000, 0.000], [2.707, 4.688, 0.000], [2.707, 1.563, 4.420]], "species": ["Th", "Th", "Tl", "Al"], "frac_coords": [[0.750, 0.750, 0.750], [0.250, 0.250, 0.250], [0.500, 0.500, 0.500], [0.000, 0.000, 0.000]]}

{"formula": "Th2AlTl", "functional": "GGA-PBE", "state": "relaxed", "formation_enthalpy_0k_ev_per_atom": -0.2047, "magmom_total_mub_per_cell": 0.00, "spacegroup": "P4/mmm", "e_above_lowest_polymorph_kj_per_mol_fu": 0, "vol_a3_per_atom": 27.33, "energy_ev_per_atom": -5.442, "lattice": [[3.452, 0.000, 0.000], [0.000, 3.452, 0.000], [0.000, 0.000, 9.172]], "species": ["Tl", "Th", "Th", "Al"], "frac_coords": [[0.500, 0.500, 0.500], [0.000, 0.000, 0.771], [0.000, 0.000, 0.229], [0.500, 0.500, 0.000]]}

{"formula": "Th2AlTl", "functional": "GGA-PBE", "state": "relaxed", "formation_enthalpy_0k_ev_per_atom": -0.1632, "magmom_total_mub_per_cell": 0.00, "spacegroup": "P4/mmm", "e_above_lowest_polymorph_kj_per_mol_fu": 16, "vol_a3_per_atom": 27.43, "energy_ev_per_atom": -5.400, "lattice": [[-3.483, 0.671, -2.825], [-3.015, -2.218, 3.191], [-0.910, 4.329, 2.150]], "species": ["Al", "Th", "Tl", "Th"], "frac_coords": [[0.500, 0.000, 0.000], [0.000, 0.500, 0.000], [0.500, 0.500, 0.500], [0.000, 0.000, 0.500]]}

{"formula": "Th2AlTl", "functional": "GGA-PBE", "state": "relaxed", "formation_enthalpy_0k_ev_per_atom": -0.0359, "magmom_total_mub_per_cell": 0.00, "spacegroup": "R-3m", "e_above_lowest_polymorph_kj_per_mol_fu": 65, "vol_a3_per_atom": 27.99, "energy_ev_per_atom": -5.273, "lattice": [[3.459, 0.000, 0.000], [1.730, 2.996, 0.000], [1.730, 0.999, 10.804]], "species": ["Tl", "Th", "Al", "Th"], "frac_coords": [[0.500, 0.500, 0.500], [0.255, 0.255, 0.236], [0.000, 0.000, 0.000], [0.745, 0.745, 0.764]]}

{"formula": "ThAlTl", "functional": "GGA-PBE", "state": "relaxed", "formation_enthalpy_0k_ev_per_atom": -0.1750, "magmom_total_mub_per_cell": 0.00, "spacegroup": "Cmcm", "vol_a3_per_atom": 26.11, "energy_ev_per_atom": -4.685, "lattice": [[4.672, 0.000, 0.000], [0.000, 3.693, 0.000], [0.000, 1.846, 9.079]], "species": ["Al", "Th", "Al", "Tl", "Th", "Tl"], "frac_coords": [[0.250, 0.538, 0.924], [0.750, 0.105, 0.790], [0.750, 0.462, 0.076], [0.250, 0.706, 0.588], [0.250, 0.895, 0.210], [0.750, 0.294, 0.412]]}

{"formula": "ThAlTl", "functional": "GGA-PBE", "state": "relaxed", "formation_enthalpy_0k_ev_per_atom": -0.1752, "magmom_total_mub_per_cell": 0.00, "spacegroup": "P3m1", "vol_a3_per_atom": 25.92, "energy_ev_per_atom": -4.685, "lattice": [[4.301, 0.000, 0.000], [0.000, 4.569, 0.000], [0.000, -2.284, 3.956]], "species": ["Al", "Th", "Tl"], "frac_coords": [[0.221, 0.333, 0.667], [0.660, 0.667, 0.333], [0.119, 0.000, 0.000]]}

{"formula": "ThAlTl2", "functional": "GGA-PBE", "state": "relaxed", "formation_enthalpy_0k_ev_per_atom": -0.1334, "magmom_total_mub_per_cell": 0.00, "spacegroup": "P4/mmm", "vol_a3_per_atom": 26.03, "energy_ev_per_atom": -4.107, "lattice": [[4.818, 0.000, 0.000], [0.000, 4.649, 0.000], [0.000, 0.000, 4.649]], "species": ["Th", "Tl", "Tl", "Al"], "frac_coords": [[0.500, 0.500, 0.500], [0.000, 0.500, 0.000], [0.000, 0.000, 0.500], [0.500, 0.000, 0.000]]}

{"formula": "YThAlTl", "functional": "GGA-PBE", "state": "relaxed", "formation_enthalpy_0k_ev_per_atom": -0.2078, "magmom_total_mub_per_cell": 0.00, "spacegroup": "F-43m", "vol_a3_per_atom": 27.02, "energy_ev_per_atom": -5.206, "lattice": [[5.347, 0.000, 0.000], [2.673, 4.631, 0.000], [2.673, 1.544, 4.366]], "species": ["Th", "Tl", "Al", "Y"], "frac_coords": [[0.500, 0.500, 0.500], [0.750, 0.750, 0.750], [0.250, 0.250, 0.250], [0.000, 0.000, 0.000]]}

{"formula": "TmTh2Al", "functional": "GGA-PBE", "state": "relaxed", "formation_enthalpy_0k_ev_per_atom": 0.0498, "magmom_total_mub_per_cell": 0.00, "spacegroup": "Fm-3m", "e_above_lowest_polymorph_kj_per_mol_fu": 70, "vol_a3_per_atom": 28.18, "energy_ev_per_atom": -5.714, "lattice": [[5.422, 0.000, 0.000], [2.711, 4.696, 0.000], [2.711, 1.565, 4.427]], "species": ["Th", "Al", "Th", "Tm"], "frac_coords": [[0.250, 0.250, 0.250], [0.500, 0.500, 0.500], [0.750, 0.750, 0.750], [0.000, 0.000, 0.000]]}

{"formula": "TmThAl", "functional": "GGA-PBE", "state": "relaxed", "formation_enthalpy_0k_ev_per_atom": 0.0272, "magmom_total_mub_per_cell": 0.00, "spacegroup": "P4/nmm", "e_above_lowest_polymorph_kj_per_mol_fu": 57, "vol_a3_per_atom": 28.39, "energy_ev_per_atom": -5.184, "lattice": [[4.748, 0.000, 0.000], [0.000, 4.748, 0.000], [0.000, 0.000, 7.555]], "species": ["Al", "Tm", "Tm", "Al", "Th", "Th"], "frac_coords": [[0.000, 0.000, 0.000], [0.000, 0.500, 0.755], [0.500, 0.000, 0.245], [0.500, 0.500, 0.000], [0.000, 0.500, 0.286], [0.500, 0.000, 0.714]]}

{"formula": "TmTh2Al", "functional": "GGA-PBE", "state": "relaxed", "formation_enthalpy_0k_ev_per_atom": -0.0500, "magmom_total_mub_per_cell": 0.00, "spacegroup": "P4/mmm", "e_above_lowest_polymorph_kj_per_mol_fu": 31, "vol_a3_per_atom": 28.68, "energy_ev_per_atom": -5.813, "lattice": [[3.455, 0.000, 0.000], [0.000, 3.455, 0.000], [0.000, 0.000, 9.610]], "species": ["Al", "Th", "Th", "Tm"], "frac_coords": [[0.500, 0.500, 0.000], [0.000, 0.000, 0.778], [0.000, 0.000, 0.222], [0.500, 0.500, 0.500]]}

{"formula": "TmThAl", "functional": "GGA-PBE", "state": "relaxed", "formation_enthalpy_0k_ev_per_atom": -0.0443, "magmom_total_mub_per_cell": 0.00, "spacegroup": "P3m1", "e_above_lowest_polymorph_kj_per_mol_fu": 37, "vol_a3_per_atom": 27.03, "energy_ev_per_atom": -5.256, "lattice": [[-2.796, -0.619, -2.182], [1.800, -4.670, -0.982], [-3.205, 0.730, 3.900]], "species": ["Th", "Al", "Tm"], "frac_coords": [[0.694, 0.333, 0.667], [0.064, 0.000, 0.000], [0.242, 0.667, 0.333]]}

{"formula": "Tm2ThAl", "functional": "GGA-PBE", "state": "relaxed", "formation_enthalpy_0k_ev_per_atom": -0.1923, "magmom_total_mub_per_cell": 0.00, "spacegroup": "P4/mmm", "e_above_lowest_polymorph_kj_per_mol_fu": 0, "vol_a3_per_atom": 26.84, "energy_ev_per_atom": -5.219, "lattice": [[3.483, 0.000, 0.000], [0.000, 3.483, 0.000], [0.000, 0.000, 8.848]], "species": ["Al", "Th", "Tm", "Tm"], "frac_coords": [[0.500, 0.500, 0.000], [0.500, 0.500, 0.500], [0.000, 0.000, 0.783], [0.000, 0.000, 0.217]]}

{"formula": "Tm3ThAl4", "functional": "GGA-PBE", "state": "relaxed", "formation_enthalpy_0k_ev_per_atom": -0.3345, "magmom_total_mub_per_cell": 0.00, "spacegroup": "P4/mmm", "vol_a3_per_atom": 23.43, "energy_ev_per_atom": -4.810, "lattice": [[-3.689, 2.092, -2.747], [-4.422, -5.621, 1.657], [-3.262, 4.975, 8.168]], "species": ["Al", "Al", "Al", "Tm", "Th", "Al", "Al", "Tm", "Tm", "Tm", "Al", "Th", "Al", "Al", "Tm", "Tm"], "frac_coords": [[0.001, 0.238, 0.250], [0.500, 0.762, 0.500], [0.500, 0.238, 0.500], [0.501, 0.000, 0.250], [0.000, 0.500, 0.000], [0.500, 0.238, 0.000], [0.999, 0.238, 0.750], [0.000, 0.000, 0.500], [0.000, 0.000, 0.000], [0.501, 0.500, 0.250], [0.001, 0.762, 0.250], [0.000, 0.500, 0.500], [0.999, 0.762, 0.750], [0.500, 0.762, 0.000], [0.499, 0.000, 0.750], [0.499, 0.500, 0.750]]}

{"formula": "TmTh2Al2", "functional": "GGA-PBE", "state": "relaxed", "formation_enthalpy_0k_ev_per_atom": -0.2796, "magmom_total_mub_per_cell": 0.00, "spacegroup": "P4/mbm", "vol_a3_per_atom": 27.45, "energy_ev_per_atom": -5.639, "lattice": [[4.458, 0.000, 0.000], [0.000, 7.847, 0.000], [0.000, 0.000, 7.847]], "species": ["Tm", "Th", "Th", "Al", "Th", "Th", "Al", "Al", "Al", "Tm"], "frac_coords": [[0.000, 0.500, 0.500], [0.500, 0.674, 0.826], [0.500, 0.326, 0.174], [0.000, 0.380, 0.880], [0.500, 0.174, 0.674], [0.500, 0.826, 0.326], [0.000, 0.620, 0.120], [0.000, 0.880, 0.620], [0.000, 0.120, 0.380], [0.000, 0.000, 0.000]]}